# Gd2MgZr (PBE, relaxed)
# Energy relative to the elements ... 0.30 eV per atom
# M_tot ... 47.359 Bohr magnetons per cell
# E above lowest polymorph ... 0.3068 eV per atom
# E ... -9.274 eV per atom
data_Gd2MgZr
_chemical_formula_sum 'Gd6 Mg3 Zr3'
_cell_length_a 3.2639
_cell_length_b 3.2639
_cell_length_c 36.1493
_cell_angle_alpha 90.00
_cell_angle_beta 90.00
_cell_angle_gamma 120.00
_space_group_name_H-M_alt 'R -3 m'
_space_group_IT_number 166
_space_group_name_Hall '-R 3 2"'
loop_
_atom_site_label
_atom_site_type_symbol
_atom_site_fract_x
_atom_site_fract_y
_atom_site_fract_z
Gd1 Gd 0.0000 0.0000 0.0873
Mg1 Mg 0.0000 0.0000 0.5000
Zr1 Zr 0.0000 0.0000 0.0000